# 1
Ba3SmS4 | PBE | relaxed

Structure (CIF):
```
data_Ba3SmS4
_chemical_formula_sum 'Ba3 Sm1 S4'
_space_group_name_H-M_alt 'P 1'
_space_group_IT_number 1
_space_group_name_Hall 'P 1'
_cell_length_a 7.6477
_cell_length_b 7.6477
_cell_length_c 4.3684
_cell_angle_alpha 90.00
_cell_angle_beta 90.00
_cell_angle_gamma 109.03
loop_
_atom_site_label
_atom_site_fract_x
_atom_site_fract_y
_atom_site_fract_z
Ba1 0.0000 0.0000 0.0000
Ba2 0.0000 0.5000 0.5000
Ba3 0.5000 0.0000 0.5000
Sm1 0.5000 0.5000 0.0000
S1 0.2670 0.7330 0.0000
S2 0.2766 0.2766 0.5000
S3 0.7234 0.7234 0.5000
S4 0.7330 0.2670 0.0000
```

Values from the calculation:
**Symmetry**: Cmmm (65)
**E**: -5.39 eV per atom
**Calculated volume**: 30.19 Å³/atom
**DOS at the Fermi energy**: 2.90 states/eV/cell
**Formation energy (no corrections)**: -2.013 eV/atom


# 2
Nd2Sm3Ho6 | PBE | relaxed

Structure (CIF):
```
data_Nd2Sm3Ho6
_chemical_formula_sum 'Nd2 Sm3 Ho6'
_space_group_name_H-M_alt 'P 1'
_space_group_IT_number 1
_space_group_name_Hall 'P 1'
_cell_length_a 16.9672
_cell_length_b 16.9672
_cell_length_c 16.9672
_cell_angle_alpha 163.88
_cell_angle_beta 163.88
_cell_angle_gamma 22.88
loop_
_atom_site_label
_atom_site_fract_x
_atom_site_fract_y
_atom_site_fract_z
Nd1 0.0463 0.0463 0.0000
Nd2 0.9537 0.9537 0.0000
Sm1 0.2973 0.2973 0.0000
Sm2 0.5000 0.5000 0.0000
Sm3 0.7027 0.7027 0.0000
Ho1 0.1215 0.6215 0.5000
Ho2 0.1940 0.1940 0.0000
Ho3 0.3785 0.8785 0.5000
Ho4 0.6215 0.1215 0.5000
Ho5 0.8060 0.8060 0.0000
Ho6 0.8785 0.3785 0.5000
```

Values from the calculation:
**Symmetry**: I4/mmm (139)
**E**: -4.39 eV per atom
**Calculated volume**: 34.23 Å³/atom
**DOS at the Fermi energy**: 16.40 states/eV/cell
**Excess energy over the best structure of this formula in the dataset**: 0.077 eV/atom


# 3
MnIn2 | PBE | relaxed

Structure (CIF):
```
data_MnIn2
_chemical_formula_sum 'Mn2 In4'
_space_group_name_H-M_alt 'P 1'
_space_group_IT_number 1
_space_group_name_Hall 'P 1'
_cell_length_a 7.3521
_cell_length_b 7.3521
_cell_length_c 7.3521
_cell_angle_alpha 156.12
_cell_angle_beta 129.27
_cell_angle_gamma 56.81
loop_
_atom_site_label
_atom_site_fract_x
_atom_site_fract_y
_atom_site_fract_z
Mn1 0.2365 0.0000 0.2365
Mn2 0.7635 0.0000 0.7635
In1 0.1484 0.6484 0.5000
In2 0.3615 0.3615 0.0000
In3 0.6385 0.6385 0.0000
In4 0.8516 0.3516 0.5000
```

Values from the calculation:
**Symmetry**: Immm (71)
**E**: -4.71 eV per atom
**Calculated volume**: 20.65 Å³/atom
**DOS at the Fermi energy**: 3.32 states/eV/cell


# 4
ZrMnCo2B | PBE | relaxed

Structure (CIF):
```
data_ZrMnCo2B
_chemical_formula_sum 'Zr1 Mn1 Co2 B1'
_space_group_name_H-M_alt 'P 1'
_space_group_IT_number 1
_space_group_name_Hall 'P 1'
_cell_length_a 3.8748
_cell_length_b 3.8748
_cell_length_c 3.9771
_cell_angle_alpha 90.00
_cell_angle_beta 90.00
_cell_angle_gamma 90.00
loop_
_atom_site_label
_atom_site_fract_x
_atom_site_fract_y
_atom_site_fract_z
Zr1 0.0000 0.0000 0.0000
Mn1 0.5000 0.5000 0.0000
Co1 0.0000 0.5000 0.5000
Co2 0.5000 0.0000 0.5000
B1 0.5000 0.5000 0.5000
```

Values from the calculation:
**Symmetry**: P4/mmm (123)
**E**: -8.02 eV per atom
**Calculated volume**: 11.94 Å³/atom
**DOS at the Fermi energy**: 2.76 states/eV/cell


# 5
Ho2TlFe | PBE | relaxed

Structure (CIF):
```
data_Ho2TlFe
_chemical_formula_sum 'Ho2 Tl1 Fe1'
_space_group_name_H-M_alt 'P 1'
_space_group_IT_number 1
_space_group_name_Hall 'P 1'
_cell_length_a 3.3394
_cell_length_b 3.3394
_cell_length_c 8.1723
_cell_angle_alpha 90.00
_cell_angle_beta 90.00
_cell_angle_gamma 90.00
loop_
_atom_site_label
_atom_site_fract_x
_atom_site_fract_y
_atom_site_fract_z
Ho1 0.0000 0.0000 0.1966
Ho2 0.0000 0.0000 0.8034
Tl1 0.5000 0.5000 0.5000
Fe1 0.5000 0.5000 0.0000
```

Values from the calculation:
**Symmetry**: P4/mmm (123)
**E**: -5.12 eV per atom
**Calculated volume**: 22.78 Å³/atom
**DOS at the Fermi energy**: 2.29 states/eV/cell
**Excess energy over the best structure of this formula in the dataset**: 0.000 eV/atom


# 6
BiRhO3 | PBE | relaxed

Structure (CIF):
```
data_BiRhO3
_chemical_formula_sum 'Bi4 Rh4 O12'
_space_group_name_H-M_alt 'P 1'
_space_group_IT_number 1
_space_group_name_Hall 'P 1'
_cell_length_a 5.9398
_cell_length_b 7.8046
_cell_length_c 5.4215
_cell_angle_alpha 90.00
_cell_angle_beta 90.00
_cell_angle_gamma 90.00
loop_
_atom_site_label
_atom_site_fract_x
_atom_site_fract_y
_atom_site_fract_z
Bi1 0.0678 0.2500 0.0175
Bi2 0.4322 0.7500 0.5175
Bi3 0.5678 0.2500 0.4825
Bi4 0.9322 0.7500 0.9825
Rh1 0.0000 0.0000 0.5000
Rh2 0.0000 0.5000 0.5000
Rh3 0.5000 0.0000 0.0000
Rh4 0.5000 0.5000 0.0000
O1 0.0464 0.7500 0.3795
O2 0.1857 0.5440 0.8287
O3 0.1857 0.9560 0.8287
O4 0.3143 0.0440 0.3287
O5 0.3143 0.4560 0.3287
O6 0.4536 0.2500 0.8795
O7 0.5464 0.7500 0.1205
O8 0.6857 0.5440 0.6713
O9 0.6857 0.9560 0.6713
O10 0.8143 0.0440 0.1713
O11 0.8143 0.4560 0.1713
O12 0.9536 0.2500 0.6205
```

Values from the calculation:
**Symmetry**: Pnma (62)
**E**: -6.15 eV per atom
**Calculated volume**: 12.57 Å³/atom
**DOS at the Fermi energy**: 0.00 states/eV/cell
**Formation energy (no corrections)**: -0.930 eV/atom


# 7
Pm2PrAl2 | PBE | relaxed

Structure (CIF):
```
data_Pm2PrAl2
_chemical_formula_sum 'Pm2 Pr1 Al2'
_space_group_name_H-M_alt 'P 1'
_space_group_IT_number 1
_space_group_name_Hall 'P 1'
_cell_length_a 5.8665
_cell_length_b 5.8665
_cell_length_c 5.8665
_cell_angle_alpha 129.50
_cell_angle_beta 107.13
_cell_angle_gamma 93.98
loop_
_atom_site_label
_atom_site_fract_x
_atom_site_fract_y
_atom_site_fract_z
Pm1 0.1980 0.1980 0.0000
Pm2 0.8020 0.8020 0.0000
Pr1 0.5000 0.0000 0.5000
Al1 0.1912 0.5000 0.6912
Al2 0.8088 0.5000 0.3088
```

Values from the calculation:
**Symmetry**: Immm (71)
**E**: -4.65 eV per atom
**Calculated volume**: 27.92 Å³/atom
**DOS at the Fermi energy**: 5.09 states/eV/cell
**Excess energy over the best structure of this formula in the dataset**: 0.000 eV/atom


# 8
ScBiAs2Pd | PBE | relaxed

Structure (CIF):
```
data_ScBiAs2Pd
_chemical_formula_sum 'Sc1 Bi1 As2 Pd1'
_space_group_name_H-M_alt 'P 1'
_space_group_IT_number 1
_space_group_name_Hall 'P 1'
_cell_length_a 5.0970
_cell_length_b 5.0970
_cell_length_c 4.9255
_cell_angle_alpha 90.00
_cell_angle_beta 90.00
_cell_angle_gamma 90.00
loop_
_atom_site_label
_atom_site_fract_x
_atom_site_fract_y
_atom_site_fract_z
Sc1 0.0000 0.0000 0.0000
Bi1 0.5000 0.5000 0.5000
As1 0.0000 0.5000 0.0000
As2 0.5000 0.0000 0.0000
Pd1 0.0000 0.0000 0.5000
```

Values from the calculation:
**Symmetry**: P4/mmm (123)
**E**: -4.73 eV per atom
**Calculated volume**: 25.59 Å³/atom
**DOS at the Fermi energy**: 5.25 states/eV/cell


# 9
Sr2Li3Zn4 | PBE | relaxed

Structure (CIF):
```
data_Sr2Li3Zn4
_chemical_formula_sum 'Sr2 Li3 Zn4'
_space_group_name_H-M_alt 'P 1'
_space_group_IT_number 1
_space_group_name_Hall 'P 1'
_cell_length_a 9.0189
_cell_length_b 7.7470
_cell_length_c 5.9352
_cell_angle_alpha 81.31
_cell_angle_beta 58.11
_cell_angle_gamma 40.58
loop_
_atom_site_label
_atom_site_fract_x
_atom_site_fract_y
_atom_site_fract_z
Sr1 0.1513 0.1513 0.8487
Sr2 0.8487 0.8487 0.1513
Li1 0.0000 0.0000 0.5000
Li2 0.5000 0.5000 0.0000
Li3 0.5000 0.5000 0.5000
Zn1 0.1423 0.5316 0.4684
Zn2 0.4684 0.8577 0.1423
Zn3 0.5316 0.1423 0.8577
Zn4 0.8577 0.4684 0.5316
```

Values from the calculation:
**Symmetry**: Fmmm (69)
**E**: -1.70 eV per atom
**Calculated volume**: 22.69 Å³/atom
**DOS at the Fermi energy**: 4.01 states/eV/cell


# 10
HfFe2NiC | PBE | relaxed

Structure (CIF):
```
data_HfFe2NiC
_chemical_formula_sum 'Hf1 Fe2 Ni1 C1'
_space_group_name_H-M_alt 'P 1'
_space_group_IT_number 1
_space_group_name_Hall 'P 1'
_cell_length_a 3.8444
_cell_length_b 3.8444
_cell_length_c 3.8222
_cell_angle_alpha 90.00
_cell_angle_beta 90.00
_cell_angle_gamma 90.00
loop_
_atom_site_label
_atom_site_fract_x
_atom_site_fract_y
_atom_site_fract_z
Hf1 0.0000 0.0000 0.0000
Fe1 0.0000 0.5000 0.5000
Fe2 0.5000 0.0000 0.5000
Ni1 0.5000 0.5000 0.0000
C1 0.5000 0.5000 0.5000
```

Values from the calculation:
**Symmetry**: P4/mmm (123)
**E**: -8.59 eV per atom
**Calculated volume**: 11.30 Å³/atom
**DOS at the Fermi energy**: 4.08 states/eV/cell


# 11
SnAsIO2 | PBE | relaxed

Structure (CIF):
```
data_SnAsIO2
_chemical_formula_sum 'Sn1 As1 I1 O2'
_space_group_name_H-M_alt 'P 1'
_space_group_IT_number 1
_space_group_name_Hall 'P 1'
_cell_length_a 4.2467
_cell_length_b 4.2467
_cell_length_c 5.4973
_cell_angle_alpha 90.00
_cell_angle_beta 90.00
_cell_angle_gamma 90.00
loop_
_atom_site_label
_atom_site_fract_x
_atom_site_fract_y
_atom_site_fract_z
Sn1 0.0000 0.0000 0.0000
As1 0.5000 0.5000 0.5000
I1 0.5000 0.5000 0.0000
O1 0.0000 0.5000 0.5000
O2 0.5000 0.0000 0.5000
```

Values from the calculation:
**Symmetry**: P4/mmm (123)
**E**: -4.08 eV per atom
**Calculated volume**: 19.83 Å³/atom
**DOS at the Fermi energy**: 1.24 states/eV/cell
**Formation energy (no corrections)**: -0.053 eV/atom
**Excess energy over the best structure of this formula in the dataset**: 0.126 eV/atom


# 12
SrTbCrN3 | PBE | relaxed

Structure (CIF):
```
data_SrTbCrN3
_chemical_formula_sum 'Sr2 Tb2 Cr2 N6'
_space_group_name_H-M_alt 'P 1'
_space_group_IT_number 1
_space_group_name_Hall 'P 1'
_cell_length_a 6.8134
_cell_length_b 6.8134
_cell_length_c 7.2027
_cell_angle_alpha 104.87
_cell_angle_beta 104.87
_cell_angle_gamma 32.00
loop_
_atom_site_label
_atom_site_fract_x
_atom_site_fract_y
_atom_site_fract_z
Sr1 0.1419 0.1419 0.0762
Sr2 0.8581 0.8581 0.9238
Tb1 0.1543 0.1543 0.5693
Tb2 0.8457 0.8457 0.4307
Cr1 0.4954 0.4954 0.2958
Cr2 0.5046 0.5046 0.7042
N1 0.0038 0.0038 0.2931
N2 0.3416 0.3416 0.6514
N3 0.3546 0.3546 0.1938
N4 0.6454 0.6454 0.8062
N5 0.6584 0.6584 0.3486
N6 0.9962 0.9962 0.7069
```

Values from the calculation:
**Symmetry**: C2/m (12)
**E**: -7.71 eV per atom
**Calculated volume**: 14.23 Å³/atom
**DOS at the Fermi energy**: 4.41 states/eV/cell
**Formation energy (no corrections)**: -0.896 eV/atom


What did the second record say?
Nd2Sm3Ho6 | PBE | relaxed

Structure (CIF):
```
data_Nd2Sm3Ho6
_chemical_formula_sum 'Nd2 Sm3 Ho6'
_space_group_name_H-M_alt 'P 1'
_space_group_IT_number 1
_space_group_name_Hall 'P 1'
_cell_length_a 16.9672
_cell_length_b 16.9672
_cell_length_c 16.9672
_cell_angle_alpha 163.88
_cell_angle_beta 163.88
_cell_angle_gamma 22.88
loop_
_atom_site_label
_atom_site_fract_x
_atom_site_fract_y
_atom_site_fract_z
Nd1 0.0463 0.0463 0.0000
Nd2 0.9537 0.9537 0.0000
Sm1 0.2973 0.2973 0.0000
Sm2 0.5000 0.5000 0.0000
Sm3 0.7027 0.7027 0.0000
Ho1 0.1215 0.6215 0.5000
Ho2 0.1940 0.1940 0.0000
Ho3 0.3785 0.8785 0.5000
Ho4 0.6215 0.1215 0.5000
Ho5 0.8060 0.8060 0.0000
Ho6 0.8785 0.3785 0.5000
```

Values from the calculation:
**Symmetry**: I4/mmm (139)
**E**: -4.39 eV per atom
**Calculated volume**: 34.23 Å³/atom
**DOS at the Fermi energy**: 16.40 states/eV/cell
**Excess energy over the best structure of this formula in the dataset**: 0.077 eV/atom